Compound: La2TeRh
Source: Alexandria via LeMat-Bulk
Functional: PBE-GGA
Structure: optimized geometry

a b c (Å): 4.187 23.790 4.719
angles (deg): 90.00 90.00 90.00
Space group Cmcm (No. 63)
Symmetry-distinct sites (fractional):
La 0.000 0.055 0.250 x4
La 0.000 0.339 0.250 x4
Te 0.000 0.193 0.250 x4
Rh 0.000 0.454 0.250 x4

Results
The formation energy (no corrections) comes out at -1.10 eV per atom. As for the energy above the most stable polymorph in this dataset: 44 meV/atom.